First-principles (GGA-PBE) data for CoP2 after structural relaxation, as listed in Alexandria via LeMat-Bulk.

Cell lengths 3.119, 10.700, 4.471 Å; angles 90.00, 90.00, 90.00 degrees
Fractional coordinates of all 12 atoms:
Co1 0.000 0.196 0.250
Co2 0.000 0.804 0.750
Co3 0.500 0.304 0.750
Co4 0.500 0.696 0.250
P1 0.000 0.147 0.750
P2 0.000 0.467 0.750
P3 0.000 0.533 0.250
P4 0.000 0.853 0.250
P5 0.500 0.033 0.250
P6 0.500 0.353 0.250
P7 0.500 0.647 0.750
P8 0.500 0.967 0.750

* symmetry: Cmcm, No. 63
* formation energy from the elements: -0.150 eV/atom


First-principles (GGA-PBE) data for Li2SmEr2Sb2 after structural relaxation, as listed in Alexandria via LeMat-Bulk.

Cell lengths 9.228, 9.228, 9.228 Å; angles 29.78, 29.78, 29.78 degrees
Fractional coordinates of all 7 atoms:
Li1 0.090 0.090 0.090
Li2 0.910 0.910 0.910
Sm1 0.500 0.500 0.500
Er1 0.369 0.369 0.369
Er2 0.631 0.631 0.631
Sb1 0.238 0.238 0.238
Sb2 0.762 0.762 0.762

* symmetry: R-3m, No. 166
* raw formation energy: -544 meV per atom